Compound: RbSi2Pt2
Source: Alexandria via LeMat-Bulk
Functional: PBE
Structure: optimized geometry

Geometry as POSCAR:
```
RbSi2Pt2
1.0
-2.0894 2.0894 6.8668
2.0894 -2.0894 6.8668
2.0894 2.0894 -6.8668
Rb Si Pt
1 2 2
direct
0.0000 0.0000 0.0000
0.3409 0.3409 0.0000
0.6591 0.6591 0.0000
0.2500 0.7500 0.5000
0.7500 0.2500 0.5000
```

Calculated values
- Formation energy from raw total energies: -0.4853 eV per atom
- Space group: No. 139
- Excess energy over the best structure of this formula in the dataset: 0.070 eV/atom
- Electronic total energy: -5.264 eV/atom



Compound: TiH8N2F6
Source: Alexandria via LeMat-Bulk
Functional: PBE
Structure: optimized geometry

Geometry as POSCAR:
```
TiH8N2F6
1.0
6.0405 0.0000 0.0000
-3.0203 5.2313 0.0000
0.0000 0.0000 4.7309
Ti H N F
1 8 2 6
direct
0.0000 0.0000 0.0000
0.2408 0.4816 0.3934
0.2408 0.7592 0.3934
0.3333 0.6667 0.1006
0.4816 0.2408 0.6066
0.5184 0.7592 0.3934
0.6667 0.3333 0.8994
0.7592 0.2408 0.6066
0.7592 0.5184 0.6066
0.3333 0.6667 0.3179
0.6667 0.3333 0.6821
0.1494 0.2988 0.7731
0.1494 0.8506 0.7731
0.2988 0.1494 0.2269
0.7012 0.8506 0.7731
0.8506 0.1494 0.2269
0.8506 0.7012 0.2269
```

Calculated values
- Space group: No. 164
- Excess energy over the best structure of this formula in the dataset: 0.000 eV/atom
- Electronic total energy: -5.379 eV/atom



Compound: ZrNp2Co9
Source: Alexandria via LeMat-Bulk
Functional: PBE
Structure: optimized geometry

Geometry as POSCAR:
```
ZrNp2Co9
1.0
2.3994 1.3853 8.1468
-2.3994 1.3853 8.1468
0.0000 -2.7706 8.1468
Zr Np Co
1 2 9
direct
0.0000 0.0000 0.0000
0.1397 0.1397 0.1397
0.8603 0.8603 0.8603
0.0817 0.5809 0.5809
0.3332 0.3332 0.3332
0.4191 0.4191 0.9183
0.4191 0.9183 0.4191
0.5000 0.5000 0.5000
0.5809 0.0817 0.5809
0.5809 0.5809 0.0817
0.6668 0.6668 0.6668
0.9183 0.4191 0.4191
```

Calculated values
- Space group: No. 166
- Formation enthalpy at 0 K: -0.121 eV/atom
- Electronic total energy: -8.319 eV/atom



Compound: PmMgZrTl
Source: Alexandria via LeMat-Bulk
Functional: PBE
Structure: optimized geometry

Geometry as POSCAR:
```
PmMgZrTl
1.0
0.0000 3.6982 3.6982
3.6982 0.0000 3.6982
3.6982 3.6982 0.0000
Pm Mg Zr Tl
1 1 1 1
direct
0.0000 0.0000 0.0000
0.2500 0.2500 0.2500
0.5000 0.5000 0.5000
0.7500 0.7500 0.7500
```

Calculated values
- Space group: No. 216
- Formation enthalpy at 0 K: -0.063 eV/atom
- Electronic total energy: -4.378 eV/atom



Compound: LaFeC
Source: Alexandria via LeMat-Bulk
Functional: PBE
Structure: optimized geometry

Geometry as POSCAR:
```
LaFeC
1.0
5.7012 0.0000 0.0000
0.0000 3.3392 0.0000
-1.8811 0.0000 5.4833
La Fe C
2 2 2
direct
0.1759 0.2500 0.2931
0.8241 0.7500 0.7069
0.3617 0.2500 0.8736
0.6383 0.7500 0.1264
0.2821 0.7500 0.9851
0.7179 0.2500 0.0149
```

Calculated values
- Space group: No. 11
- Formation enthalpy at 0 K: -0.040 eV/atom
- Excess energy over the best structure of this formula in the dataset: 0.134 eV/atom
- Electronic total energy: -7.578 eV/atom



Compound: Bi2SbPb4
Source: Alexandria via LeMat-Bulk
Functional: PBE
Structure: optimized geometry

Geometry as POSCAR:
```
Bi2SbPb4
1.0
8.3541 0.0000 0.0000
0.0000 6.7862 0.0000
-4.0590 0.0000 7.9608
Bi Sb Pb
4 2 8
direct
0.1839 0.2500 0.4419
0.2966 0.2500 0.8675
0.7034 0.7500 0.1325
0.8161 0.7500 0.5581
0.3027 0.7500 0.8396
0.6973 0.2500 0.1604
0.0066 0.7500 0.9782
0.1506 0.7500 0.4417
0.4171 0.5044 0.2703
0.4171 0.9956 0.2703
0.5829 0.0044 0.7297
0.5829 0.4956 0.7297
0.8494 0.2500 0.5583
0.9934 0.2500 0.0218
```

Calculated values
- Formation energy from raw total energies: 0.0510 eV per atom
- Space group: No. 11
- Excess energy over the best structure of this formula in the dataset: 0.020 eV/atom
- Electronic total energy: -3.766 eV/atom